1.
## InTcNi (PBE)

Data for crystalline InTcNi at its relaxed geometry.

abc: 2.8291 4.4619 7.3902
angles: 81.37 89.73 89.55
Closest atoms and distances in Å follow each position.
Element x y z (fractional)
In1 0.2463 0.8323 0.1947  5 Ni 2.64-2.74, 2 In 2.83, 3 Tc 2.86-2.96
In2 0.7537 0.1677 0.8053  5 Ni 2.64-2.74, 2 In 2.83, 3 Tc 2.86-2.96
Tc1 0.2808 0.2634 0.4445  2 Ni 2.58-2.66, 6 Tc 2.67-2.86, 1 In 2.86
Tc2 0.7192 0.7366 0.5555  2 Ni 2.58-2.66, 6 Tc 2.67-2.86, 1 In 2.86
Ni1 0.2437 0.6496 0.8574  2 Tc 2.58-2.66, 5 In 2.64-2.74, 4 Ni 2.70-2.83
Ni2 0.7563 0.3504 0.1426  2 Tc 2.58-2.66, 5 In 2.64-2.74, 4 Ni 2.70-2.83

E = -6.1745 eV per atom
symmetry = P-1, No. 2
magnetic moment = 0.0000 μB/atom
D(E_F) = 3.7 states/eV per cell
energy of formation = 0.1208 eV/atom

2.
## RbGaSn (PBE)

Data for crystalline RbGaSn at its relaxed geometry.

abc: 8.0415 4.6301 5.9203
angles: 90.00 90.00 90.00
Closest atoms and distances in Å follow each position.
Element x y z (fractional)
Ga1 0.6555 0.0000 0.0000  1 Ga 2.50, 2 Sn 2.67
Ga2 0.3445 0.0000 0.0000  1 Ga 2.50, 2 Sn 2.67
Sn1 0.1784 0.5000 0.0000  2 Ga 2.67, 1 Sn 2.87
Sn2 0.8216 0.5000 0.0000  2 Ga 2.67, 1 Sn 2.87
Rb1 0.5000 0.5000 0.5000  4 Sn 3.93, 8 Ga 3.96
Rb2 0.0000 0.0000 0.5000  8 Sn 4.02, 4 Ga 4.05

E = -2.8467 eV per atom
symmetry = Pmmm, No. 47
magnetic moment = 0.0000 μB/atom
D(E_F) = 0.4 states/eV per cell
energy of formation = -0.1809 eV/atom

3.
## LaB4Ir4 (PBE)

Data for crystalline LaB4Ir4 at its relaxed geometry.

abc: 7.7486 7.7486 3.9904
angles: 90.00 90.00 90.00
Closest atoms and distances in Å follow each position.
Element x y z (fractional)
La1 0.5000 0.5000 0.0000  8 B 2.94-3.18, 8 Ir 3.19-3.29
La2 0.0000 0.0000 0.5000  8 B 2.94-3.18, 8 Ir 3.19-3.29
B1 0.6584 0.7798 0.6066  1 B 1.88
B2 0.1584 0.2798 0.8934  1 B 1.88
B3 0.2798 0.8416 0.1066  1 B 1.88
B4 0.7202 0.1584 0.1066  1 B 1.88
B5 0.3416 0.2202 0.6066  1 B 1.88
B6 0.8416 0.7202 0.8934  1 B 1.88
B7 0.2202 0.6584 0.3934  1 B 1.88
B8 0.7798 0.3416 0.3934  1 B 1.88
Ir1 0.3412 0.1096 0.1071  4 B 2.12-2.17
Ir2 0.6588 0.8904 0.1071  4 B 2.12-2.17
Ir3 0.6096 0.1588 0.6071  4 B 2.12-2.17
Ir4 0.1096 0.6588 0.8929  4 B 2.12-2.17
Ir5 0.1588 0.3904 0.3929  4 B 2.12-2.17
Ir6 0.8412 0.6096 0.3929  4 B 2.12-2.17
Ir7 0.8904 0.3412 0.8929  4 B 2.12-2.17
Ir8 0.3904 0.8412 0.6071  4 B 2.12-2.17

E = -8.0267 eV per atom
symmetry = P4_2/n, No. 86
magnetic moment = 0.0000 μB/atom
D(E_F) = 5.7 states/eV per cell
energy of formation = -0.5732 eV/atom

4.
## FeRe2Pt (PBE)

Data for crystalline FeRe2Pt at its relaxed geometry.

abc: 4.6768 4.6768 4.6768
angles: 130.91 130.91 71.95
Closest atoms and distances in Å follow each position.
Element x y z (fractional)
Fe1 0.5000 0.5000 0.0000  8 Re 2.71-2.75, 4 Pt 2.71
Pt1 0.7500 0.2500 0.5000  4 Fe 2.71, 8 Re 2.71-2.75
Re1 0.0000 0.0000 0.0000  4 Re 2.71, 4 Pt 2.71, 4 Fe 2.75
Re2 0.2500 0.7500 0.5000  4 Fe 2.71, 4 Re 2.71, 4 Pt 2.75

E = -9.8717 eV per atom
symmetry = I-4m2, No. 119
magnetic moment = 0.5163 μB/atom
D(E_F) = 3.1 states/eV per cell
energy of formation = -0.0217 eV/atom

5.
## DyThPd2 (PBE)

Data for crystalline DyThPd2 at its relaxed geometry.

abc: 3.5737 5.0642 5.0642
angles: 90.00 90.00 90.00
Closest atoms and distances in Å follow each position.
Element x y z (fractional)
Pd1 0.0000 0.0000 0.5000  4 Dy 3.10, 4 Th 3.10
Pd2 0.0000 0.5000 0.0000  4 Th 3.10, 4 Dy 3.10
Th1 0.5000 0.0000 0.0000  8 Pd 3.10
Dy1 0.5000 0.5000 0.5000  8 Pd 3.10

E = -6.3587 eV per atom
symmetry = P4/mmm, No. 123
magnetic moment = 0.0000 μB/atom
D(E_F) = 4.0 states/eV per cell
energy of formation = -0.7568 eV/atom

6.
## ZrOsSe (PBE)

Data for crystalline ZrOsSe at its relaxed geometry.

abc: 4.3187 4.3187 3.2351
angles: 90.00 90.00 120.00
Closest atoms and distances in Å follow each position.
Element x y z (fractional)
Zr1 0.3333 0.6667 0.0000  6 Se 2.97, 6 Os 2.97, 2 Zr 3.24
Os1 0.6667 0.3333 0.5000  3 Se 2.49
Se1 0.0000 0.0000 0.5000  3 Os 2.49

E = -8.1489 eV per atom
formation energy from raw total energies = -0.395 eV per atom
symmetry = P-6m2, No. 187
magnetic moment = 0.0000 μB/atom
D(E_F) = 1.7 states/eV per cell

7.
## CdRe2TeBr (PBE)

Data for crystalline CdRe2TeBr at its relaxed geometry.

abc: 4.9613 5.8375 4.9613
angles: 90.00 90.00 90.00
Closest atoms and distances in Å follow each position.
Element x y z (fractional)
Re1 0.0000 0.0000 0.5000  2 Te 2.48
Re2 0.5000 0.0000 0.0000  2 Te 2.48
Te1 0.0000 0.0000 0.0000  4 Re 2.48
Br1 0.0000 0.5000 0.0000  2 Te 2.92
Cd1 0.5000 0.5000 0.5000  4 Br 3.51, 8 Re 3.83

E = -4.2059 eV per atom
formation energy from raw total energies = 1.919 eV per atom
symmetry = P4/mmm, No. 123
magnetic moment = 0.7132 μB/atom
D(E_F) = 3.4 states/eV per cell

8.
## Y3MgN (PBE)

Data for crystalline Y3MgN at its relaxed geometry.

abc: 5.1986 5.1986 12.9065
angles: 78.38 78.38 90.00
Closest atoms and distances in Å follow each position.
Element x y z (fractional)
Y1 0.1087 0.8724 0.2552  2 Y 2.46-2.74
Y2 0.1276 0.8913 0.7448  2 Y 2.46-2.74
Y3 0.1276 0.3639 0.7448  2 Y 2.46-2.74
Y4 0.6361 0.8724 0.2552  2 Y 2.46-2.74
Y5 0.3145 0.3145 0.3709  2 N 2.75, 2 Mg 3.05
Y6 0.6855 0.6855 0.6291  2 N 2.75, 2 Mg 3.05
Mg1 0.0000 0.0000 0.0000  4 Y 3.39
Mg2 0.2500 0.7500 0.5000  8 Y 3.05-3.32
N1 0.6495 0.1495 0.7010  6 Y 2.75-2.93
N2 0.8505 0.3505 0.2990  6 Y 2.75-2.93

E = -4.8664 eV per atom
formation energy from raw total energies = 0.996 eV per atom
symmetry = I-4m2, No. 119
magnetic moment = 0.1568 μB/atom
D(E_F) = 8.8 states/eV per cell

9.
## RbCaBr (PBE)

Data for crystalline RbCaBr at its relaxed geometry.

abc: 4.0677 7.8647 8.8835
angles: 85.37 76.95 89.74
Closest atoms and distances in Å follow each position.
Element x y z (fractional)
Ca1 0.9139 0.3484 0.8634  2 Br 3.11-3.12
Ca2 0.3146 0.9749 0.0669  3 Br 3.06-3.12
Br1 0.4007 0.6446 0.8909  3 Ca 3.11-3.12
Br2 0.7047 0.8013 0.2916  2 Ca 3.06
Rb1 0.1958 0.4272 0.3236  3 Br 3.56-3.99
Rb2 0.0387 0.9092 0.6142  4 Br 3.60-3.67

E = -2.4463 eV per atom
formation energy from raw total energies = -0.899 eV per atom
symmetry = P1, No. 1
magnetic moment = 0.0003 μB/atom
D(E_F) = 4.4 states/eV per cell

10.
## Ti4Re3Os (PBE)

Data for crystalline Ti4Re3Os at its relaxed geometry.

abc: 3.1050 3.1050 12.4934
angles: 90.00 90.00 90.00
Closest atoms and distances in Å follow each position.
Element x y z (fractional)
Re1 0.5000 0.5000 0.2495  8 Ti 2.69-2.70
Re2 0.5000 0.5000 0.5000  8 Ti 2.70
Re3 0.5000 0.5000 0.7505  8 Ti 2.69-2.70
Os1 0.5000 0.5000 0.0000  8 Ti 2.69
Ti1 0.0000 0.0000 0.8760  4 Os 2.69, 4 Re 2.70
Ti2 0.0000 0.0000 0.1240  4 Os 2.69, 4 Re 2.70
Ti3 0.0000 0.0000 0.3742  8 Re 2.69-2.70
Ti4 0.0000 0.0000 0.6258  8 Re 2.69-2.70

E = -10.4946 eV per atom
symmetry = P4/mmm, No. 123
magnetic moment = 0.0000 μB/atom
D(E_F) = 7.1 states/eV per cell
energy of formation = -0.4754 eV/atom

11.
## Dy2Ho7Tm (PBE)

Data for crystalline Dy2Ho7Tm at its relaxed geometry.

abc: 6.0847 10.5395 7.8632
angles: 107.35 104.95 39.71
Closest atoms and distances in Å follow each position.
Element x y z (fractional)
Dy1 0.3999 0.8001 0.3996  10 Ho 3.51-3.52, 1 Tm 3.51, 1 Dy 3.52
Dy2 0.6001 0.1999 0.6004  10 Ho 3.51-3.52, 1 Tm 3.51, 1 Dy 3.52
Ho1 0.0996 0.7002 0.6002  7 Ho 3.51-3.52, 1 Tm 3.51, 4 Dy 3.51-3.52
Ho2 0.9004 0.2998 0.3998  7 Ho 3.51-3.52, 1 Tm 3.51, 4 Dy 3.51-3.52
Ho3 0.7990 0.6005 0.8005  9 Ho 3.51-3.52, 1 Tm 3.51, 2 Dy 3.52
Ho4 0.2010 0.3995 0.1995  9 Ho 3.51-3.52, 1 Tm 3.51, 2 Dy 3.52
Ho5 0.7002 0.8998 0.1996  7 Ho 3.51-3.52, 2 Tm 3.51, 3 Dy 3.51-3.52
Ho6 0.2998 0.1002 0.8004  7 Ho 3.51-3.52, 2 Tm 3.51, 3 Dy 3.51-3.52
Ho7 0.5000 0.5000 0.0000  8 Ho 3.51-3.52, 2 Dy 3.51, 2 Tm 3.52
Tm1 0.0000 0.0000 0.0000  10 Ho 3.51-3.52, 2 Dy 3.51

E = -4.5516 eV per atom
symmetry = P-1, No. 2
magnetic moment = 0.0000 μB/atom
D(E_F) = 14.0 states/eV per cell
energy of formation = 0.0204 eV/atom

12.
## TaCrMoRu (PBE)

Data for crystalline TaCrMoRu at its relaxed geometry.

abc: 4.4006 4.4006 4.4006
angles: 60.00 60.00 60.00
Closest atoms and distances in Å follow each position.
Element x y z (fractional)
Ru1 0.2500 0.2500 0.2500  4 Ta 2.69, 4 Cr 2.69
Mo1 0.7500 0.7500 0.7500  4 Cr 2.69, 4 Ta 2.69
Cr1 0.5000 0.5000 0.5000  4 Ru 2.69, 4 Mo 2.69
Ta1 0.0000 0.0000 0.0000  4 Mo 2.69, 4 Ru 2.69

E = -10.4339 eV per atom
symmetry = F-43m, No. 216
magnetic moment = 0.3063 μB/atom
D(E_F) = 5.0 states/eV per cell
energy of formation = -0.0382 eV/atom